(1)
The following is a DFT calculation (PBE) of an optimized crystal structure of ZnGaPt.

```
6
Lattice="4.1906 0.0000 0.0000 0.0000 4.1906 0.0000 0.0000 0.0000 6.1110" Properties=species:S:1:pos:R:3 pbc="T T T"
Zn 0.0000 0.0000 1.5277
Zn 0.0000 0.0000 4.5832
Ga 2.0953 2.0953 1.5277
Ga 2.0953 2.0953 4.5832
Pt 0.0000 2.0953 0.0000
Pt 2.0953 0.0000 3.0555
```

## Properties
Formation enthalpy at 0 K   -501 meV per atom
E_tot   -3.95 eV/atom
SG   P4_2/mmc, No. 131
M_tot   0.000 μB per formula unit

=====

(2)
The following is a DFT calculation (PBE) of an optimized crystal structure of Li3HgBi.

```
10
Lattice="5.2664 0.0000 0.0000 0.0000 5.1895 0.0000 -2.5802 0.0000 7.5125" Properties=species:S:1:pos:R:3 pbc="T T T"
Li 4.9995 1.2974 0.7767
Li -2.3133 3.8921 6.7359
Li -0.1606 1.2974 3.7339
Li -0.1688 1.2974 6.6543
Li 2.8550 3.8921 0.8582
Li 2.8468 3.8921 3.7786
Hg 0.2324 3.8921 5.5931
Hg 2.4538 1.2974 1.9194
Bi 0.1829 3.8921 2.1992
Bi 2.5033 1.2974 5.3133
```

## Properties
Formation enthalpy at 0 K   -427 meV per atom
E_tot   -2.41 eV/atom
SG   P2_1/m, No. 11
M_tot   0.000 μB per formula unit
ΔE to the lowest computed polymorph   0.00 eV/f.u.

=====

(3)
The following is a DFT calculation (PBE) of an optimized crystal structure of PrHoAlIn.

```
4
Lattice="0.0000 3.7549 3.7549 3.7549 0.0000 3.7549 3.7549 3.7549 0.0000" Properties=species:S:1:pos:R:3 pbc="T T T"
Pr 0.0000 0.0000 0.0000
Ho 3.7549 3.7549 3.7549
Al 1.8775 1.8775 1.8775
In 5.6324 5.6324 5.6324
```

## Properties
Formation enthalpy at 0 K   -399 meV per atom
E_tot   -4.36 eV/atom
SG   F-43m, No. 216
M_tot   0.000 μB per formula unit
ΔE to the lowest computed polymorph   0.08 eV/f.u.

=====

Among the records above, which one has the highest E_tot? Li3HgBi

=====

Which of these has the highest formation enthalpy at 0 K? PrHoAlIn